VASP calculation (PBE-GGA) on crystalline LiCd2Se at its relaxed geometry.

abc: 5.322 4.102 4.088
angles: 92.25 90.00 90.00
Sites, in units of the cell vectors:
Cd  0.000  0.001  0.000
Se  0.500  0.750  0.750
Li  0.500  0.250  0.250
Cd  0.000  0.499  0.500

uncorrected energy	-2.1626	eV per atom
density of states at the Fermi level	1.38	states/eV per cell
space group	No. 10
ΔE_f (raw)	-0.3554	eV/atom

=====

VASP calculation (PBE-GGA) on crystalline MnTlPd3 at its relaxed geometry.

abc: 4.557 5.807 6.915
angles: 90.00 70.79 90.00
Sites, in units of the cell vectors:
Mn  0.633  0.750  0.233
Pd  0.186  0.998  0.127
Pd  0.994  0.250  0.511
Pd  0.814  0.002  0.873
Pd  0.186  0.502  0.127
Tl  0.385  0.750  0.730
Pd  0.006  0.750  0.489
Tl  0.615  0.250  0.270
Pd  0.814  0.498  0.873
Mn  0.367  0.250  0.767

uncorrected energy	-5.5179	eV per atom
density of states at the Fermi level	5.59	states/eV per cell
DFT formation energy	-0.10	eV per atom
space group	No. 63

=====

VASP calculation (PBE-GGA) on crystalline ErSiIr3 at its relaxed geometry.

abc: 6.257 6.257 6.257
angles: 106.50 128.41 95.43
Sites, in units of the cell vectors:
Ir  0.677  0.927  0.250
Ir  0.000  0.703  0.203
Ir  0.500  0.297  0.297
Ir  0.323  0.073  0.750
Si  0.500  0.000  0.500
Si  0.500  0.500  0.000
Ir  0.500  0.703  0.703
Er  0.991  0.741  0.750
Er  0.009  0.259  0.250
Ir  0.000  0.297  0.797

uncorrected energy	-7.9198	eV per atom
density of states at the Fermi level	5.14	states/eV per cell
space group	No. 74
ΔE_f (raw)	-0.6060	eV/atom

=====

VASP calculation (PBE-GGA) on crystalline Fe2RhW at its relaxed geometry.

abc: 3.646 2.715 6.020
angles: 63.16 90.00 90.00
Sites, in units of the cell vectors:
Fe  0.000  0.988  0.012
Fe  0.500  0.265  0.236
Rh  0.000  0.509  0.491
W  0.500  0.738  0.762

uncorrected energy	-9.2791	eV per atom
density of states at the Fermi level	3.88	states/eV per cell
DFT formation energy	0.03	eV per atom
space group	No. 25

=====

VASP calculation (PBE-GGA) on crystalline TiCoGe2 at its relaxed geometry.

abc: 7.753 8.846 9.922
angles: 90.00 90.00 90.00
Sites, in units of the cell vectors:
Ge  0.000  0.869  0.901
Ti  0.238  0.168  0.546
Ge  0.000  0.959  0.621
Ge  0.339  0.840  0.182
Ti  0.000  0.666  0.682
Ti  0.762  0.832  0.454
Ge  0.500  0.959  0.621
Ge  0.500  0.041  0.379
Co  0.249  0.905  0.751
Ti  0.000  0.834  0.182
Co  0.249  0.595  0.251
Ge  0.661  0.660  0.682
Ti  0.000  0.166  0.818
Ge  0.500  0.459  0.879
Ti  0.238  0.332  0.046
Ge  0.000  0.131  0.099
Ge  0.661  0.840  0.182
Ge  0.500  0.363  0.593
Co  0.755  0.000  0.000
Co  0.751  0.595  0.251
Ti  0.762  0.332  0.046
Co  0.751  0.405  0.749
Ge  0.339  0.660  0.682
Ti  0.238  0.668  0.954
Ge  0.500  0.637  0.407
Ge  0.000  0.369  0.599
Co  0.751  0.905  0.751
Ge  0.500  0.863  0.907
Ge  0.339  0.340  0.318
Ge  0.500  0.541  0.121
Co  0.249  0.405  0.749
Co  0.755  0.500  0.500
Co  0.245  0.500  0.500
Ge  0.000  0.631  0.401
Ge  0.661  0.160  0.818
Ge  0.339  0.160  0.818
Ti  0.762  0.168  0.546
Ti  0.238  0.832  0.454
Ge  0.000  0.459  0.879
Ti  0.000  0.334  0.318
Ge  0.000  0.541  0.121
Ge  0.000  0.041  0.379
Ge  0.661  0.340  0.318
Ge  0.500  0.137  0.093
Co  0.751  0.095  0.249
Co  0.249  0.095  0.249
Co  0.245  0.000  0.000
Ti  0.762  0.668  0.954

uncorrected energy	-6.5356	eV per atom
density of states at the Fermi level	61.38	states/eV per cell
DFT formation energy	-0.48	eV per atom
space group	No. 55

=====

VASP calculation (PBE-GGA) on crystalline Ga6Cu8Ni at its relaxed geometry.

abc: 6.969 6.969 6.463
angles: 57.38 57.38 60.00
Sites, in units of the cell vectors:
Cu  0.176  0.176  0.472
Cu  0.763  0.152  0.649
Ga  0.593  0.976  0.154
Ga  0.277  0.593  0.154
Cu  0.237  0.848  0.351
Ni  0.000  0.000  0.000
Cu  0.436  0.763  0.649
Cu  0.824  0.824  0.528
Ga  0.024  0.723  0.846
Cu  0.152  0.436  0.649
Cu  0.564  0.237  0.351
Ga  0.976  0.277  0.154
Ga  0.723  0.407  0.846
Ga  0.407  0.024  0.846
Cu  0.848  0.564  0.351

uncorrected energy	-3.8583	eV per atom
density of states at the Fermi level	4.37	states/eV per cell
DFT formation energy	-0.08	eV per atom
space group	No. 148

=====

VASP calculation (PBE-GGA) on crystalline Mg2ScPd at its relaxed geometry.

abc: 7.973 7.973 6.271
angles: 50.53 50.53 90.00
Sites, in units of the cell vectors:
Mg  0.375  0.317  0.750
Pd  0.750  0.250  0.500
Mg  0.067  0.625  0.250
Sc  0.500  0.500  0.000
Sc  0.250  0.750  0.500
Pd  0.000  0.000  0.000
Mg  0.875  0.933  0.750
Mg  0.683  0.125  0.250

uncorrected energy	-3.8305	eV per atom
density of states at the Fermi level	6.55	states/eV per cell
DFT formation energy	-0.15	eV per atom
space group	No. 122

=====

VASP calculation (PBE-GGA) on crystalline Cs2LaTcI6 at its relaxed geometry.

abc: 8.379 8.379 8.379
angles: 60.00 60.00 90.00
Sites, in units of the cell vectors:
Cs  0.750  0.250  0.500
I  0.734  0.734  0.000
Cs  0.250  0.750  0.500
Tc  0.500  0.500  0.000
La  0.000  0.000  0.000
I  0.734  0.266  0.000
I  0.266  0.734  0.000
I  0.734  0.734  0.532
I  0.266  0.266  0.000
I  0.266  0.266  0.468

uncorrected energy	-3.5708	eV per atom
density of states at the Fermi level	0.00	states/eV per cell
space group	No. 225
ΔE_f (raw)	-0.9407	eV/atom

=====

VASP calculation (PBE-GGA) on crystalline Tl2BiOsO8 at its relaxed geometry.

abc: 5.077 5.071 6.816
angles: 90.00 90.00 91.12
Sites, in units of the cell vectors:
O  0.177  0.823  0.213
Tl  0.500  0.500  0.246
O  0.823  0.177  0.787
Bi  0.000  0.000  0.500
O  0.823  0.177  0.213
O  0.307  0.306  0.500
O  0.266  0.267  0.000
Os  0.000  0.000  0.000
Tl  0.500  0.500  0.754
O  0.693  0.694  0.500
O  0.734  0.733  0.000
O  0.177  0.823  0.787

uncorrected energy	-5.7921	eV per atom
density of states at the Fermi level	2.53	states/eV per cell
space group	No. 65
ΔE_f (raw)	-0.8330	eV/atom

=====

VASP calculation (PBE-GGA) on crystalline SnSb2Pb4 at its relaxed geometry.

abc: 8.521 8.519 8.531
angles: 108.40 108.43 111.60
Sites, in units of the cell vectors:
Sb  0.125  0.375  0.750
Sb  0.625  0.375  0.750
Sb  0.625  0.875  0.250
Sn  0.000  0.000  0.000
Pb  0.880  0.697  0.183
Pb  0.948  0.265  0.318
Pb  0.735  0.052  0.682
Sn  0.250  0.750  0.500
Sb  0.625  0.375  0.250
Pb  0.515  0.698  0.818
Pb  0.947  0.631  0.683
Pb  0.302  0.485  0.182
Pb  0.303  0.120  0.817
Pb  0.370  0.053  0.317

uncorrected energy	-3.7737	eV per atom
density of states at the Fermi level	8.91	states/eV per cell
space group	No. 15
ΔE_f (raw)	0.0950	eV/atom

=====

VASP calculation (PBE-GGA) on crystalline SmEr9Tl2 at its relaxed geometry.

abc: 4.839 4.839 14.905
angles: 90.00 90.00 90.00
Sites, in units of the cell vectors:
Er  0.000  0.500  0.500
Er  0.500  0.500  0.338
Er  0.500  0.500  0.000
Tl  0.000  0.000  0.340
Er  0.000  0.500  0.827
Er  0.500  0.500  0.662
Er  0.000  0.500  0.173
Er  0.500  0.000  0.500
Er  0.500  0.000  0.173
Tl  0.000  0.000  0.660
Er  0.500  0.000  0.827
Sm  0.000  0.000  0.000

uncorrected energy	-4.3096	eV per atom
density of states at the Fermi level	13.70	states/eV per cell
DFT formation energy	-0.10	eV per atom
space group	No. 123